PrTcTe: optimized geometry, PBE.

Mass density (Mg/m³): 7.44
Crystal system: cubic
Uncorrected energy (eV/atom): -5.926
Space group: F-43m, No. 216

The structure in POSCAR format:
```
PrTcTe
1.0
0.000 3.446 3.446
3.446 0.000 3.446
3.446 3.446 0.000
Pr Tc Te
1 1 1
Cartesian
1.723 1.723 1.723
5.169 5.169 5.169
0.000 0.000 0.000
```